Record 1
Material: ReAsSe4
Method: DFT, PBE
State: relaxed

The value obtained for the volume is 20.65 Å³/atom. The calculation puts the calculated total energy at -90.896 eV/cell. The value obtained for the formation energy without anion corrections is 134 kJ/mol of atoms.

It has space group F-43m (No. 216), with a = 7.913 Å, b = 7.913 Å, c = 7.913 Å, α = 90.00°, β = 90.00° and γ = 90.00°. The asymmetric unit holds Re at (0.000, 0.000, 0.000), As at (0.250, 0.250, 0.250) and Se at (0.127, 0.127, 0.627).

Record 2
Material: ReAs2Se
Method: DFT, PBE
State: relaxed

The value obtained for the volume is 17.82 Å³/atom. The calculation puts the calculated total energy at -46.933 eV/cell. The value obtained for the formation energy without anion corrections is 43 kJ/mol of atoms.

It has space group C2/m (No. 12), with a = 9.144 Å, b = 3.209 Å, c = 4.974 Å, α = 90.00°, β = 102.32° and γ = 90.00°. The asymmetric unit holds Re at (0.000, 0.000, 0.000), As at (0.219, 0.500, 0.212) and Se at (0.000, 0.500, 0.500).

Record 3
Material: ReAs2Se
Method: DFT, PBE
State: relaxed

The value obtained for the volume is 18.33 Å³/atom. The calculation puts the calculated total energy at -73.148 eV/cell. The value obtained for the formation energy without anion corrections is 20 kJ/mol of atoms.

It has space group R-3m (No. 166, hexagonal axes), with a = 3.1810 Å, b = 3.1810 Å, c = 25.0984 Å, α = 90.00°, β = 90.00° and γ = 120.00°. The asymmetric unit holds Re at (0.0000, 0.0000, 0.0000), As at (0.0000, 0.0000, 0.2626) and Se at (0.0000, 0.0000, 0.5000).

Record 4
Material: ReAs3Se
Method: DFT, PBE
State: relaxed

The value obtained for the volume is 23.20 Å³/atom. The calculation puts the calculated total energy at -21.652 eV/cell. The value obtained for the formation energy without anion corrections is 159 kJ/mol of atoms.

It has space group Pm-3m (No. 221), with a = 4.877 Å, b = 4.877 Å, c = 4.877 Å, α = 90.00°, β = 90.00° and γ = 90.00°. The asymmetric unit holds Re at (0.000, 0.000, 0.000), As at (0.000, 0.500, 0.500) and Se at (0.500, 0.500, 0.500).

Record 5
Material: Re2AsSe
Method: DFT, PBE
State: relaxed

The value obtained for the volume is 18.87 Å³/atom. The calculation puts the calculated total energy at -97.677 eV/cell. The value obtained for the formation energy without anion corrections is 11 kJ/mol of atoms.

It has space group R3m (No. 160, hexagonal axes), with a = 2.9792 Å, b = 2.9792 Å, c = 29.4575 Å, α = 90.00°, β = 90.00° and γ = 120.00°. The asymmetric unit holds Re at (0.0000, 0.0000, 0.0000), Re at (0.0000, 0.0000, 0.2579), As at (0.0000, 0.0000, 0.5267) and Se at (0.0000, 0.0000, 0.7283).

Record 6
Material: Re2AsSe
Method: DFT, PBE
State: relaxed

The value obtained for the volume is 14.96 Å³/atom. The calculation puts the calculated total energy at -124.217 eV/cell. The value obtained for the formation energy without anion corrections is 48 kJ/mol of atoms.

It has space group Fm-3m (No. 225), with a = 6.208 Å, b = 6.208 Å, c = 6.208 Å, α = 90.00°, β = 90.00° and γ = 90.00°. The asymmetric unit holds Re at (0.250, 0.250, 0.250), As at (0.000, 0.000, 0.000) and Se at (0.000, 0.000, 0.500).

Question: Which formula does entry 5 have?
Answer: Re2AsSe

Question: Which formula does entry 1 have?
Answer: ReAsSe4